Cs3VH8Cl6O4 after structural relaxation. Source: Alexandria, functional PBE+U.

Cell: 6.239 8.424 18.108 Å, 90.00 90.00 90.00°
Space group Immm (No. 71)
One atom of each set of equivalent atoms:
Cs (0.000, 0.000, 0.000) [2 per cell]
Cs (0.000, 0.500, 0.307) [4 per cell]
V (0.000, 0.000, 0.500) [2 per cell]
H (0.194, 0.405, 0.103) [16 per cell]
Cl (0.000, 0.241, 0.155) [8 per cell]
Cl (0.000, 0.280, 0.500) [4 per cell]
O (0.231, 0.000, 0.418) [8 per cell]

Computed properties:
Energy = -4.4161 eV per atom
Spin magnetization = 0.00 μB per formula unit